Compound: Pu4B3C5
Source: the Alexandria database
Functional: PBE
Structure: relaxed

```
data_Pu4B3C5
_chemical_formula_sum 'Pu8 B6 C10'
_cell_length_a 10.498
_cell_length_b 3.578
_cell_length_c 8.505
_cell_angle_alpha 90.00
_cell_angle_beta 107.76
_cell_angle_gamma 90.00
_symmetry_space_group_name_H-M 'C 1 2/m 1'
_symmetry_Int_Tables_number 12
_symmetry_space_group_name_Hall '-C 2y'
loop_
_atom_site_label
_atom_site_type_symbol
_atom_site_fract_x
_atom_site_fract_y
_atom_site_fract_z
_atom_site_occupancy
Pu1 Pu 0.101 0.000 0.416 1
Pu2 Pu 0.231 0.500 0.143 1
B1 B 0.000 0.000 0.000 1
B2 B 0.019 0.500 0.828 1
C1 C 0.000 0.500 0.000 1
C2 C 0.095 0.500 0.708 1
C3 C 0.200 0.500 0.639 1
```

* electronic total energy: -10.1034 eV per atom
* energy of formation: 18.0 kJ/mol of atoms

Compound: PuB3C
Source: the Alexandria database
Functional: PBE
Structure: relaxed

```
data_PuB3C
_chemical_formula_sum 'Pu4 B12 C4'
_cell_length_a 7.078
_cell_length_b 4.052
_cell_length_c 10.195
_cell_angle_alpha 90.00
_cell_angle_beta 131.80
_cell_angle_gamma 90.00
_symmetry_space_group_name_H-M 'P 1 21/c 1'
_symmetry_Int_Tables_number 14
_symmetry_space_group_name_Hall '-P 2ybc'
loop_
_atom_site_label
_atom_site_type_symbol
_atom_site_fract_x
_atom_site_fract_y
_atom_site_fract_z
_atom_site_occupancy
Pu1 Pu 0.241 0.249 0.420 1
B1 B 0.122 0.050 0.608 1
B2 B 0.264 0.738 0.762 1
B3 B 0.448 0.037 0.780 1
C1 C 0.332 0.103 0.219 1
```

* electronic total energy: -8.6663 eV per atom
* energy of formation: 4.9 kJ/mol of atoms

Compound: PuBC2
Source: the Alexandria database
Functional: PBE
Structure: relaxed

```
data_PuBC2
_chemical_formula_sum 'Pu3 B3 C6'
_cell_length_a 3.7165
_cell_length_b 3.7165
_cell_length_c 14.3642
_cell_angle_alpha 90.00
_cell_angle_beta 90.00
_cell_angle_gamma 120.00
_symmetry_space_group_name_H-M 'R -3 m'
_symmetry_Int_Tables_number 166
_symmetry_space_group_name_Hall '-R 3 2"'
loop_
_atom_site_label
_atom_site_type_symbol
_atom_site_fract_x
_atom_site_fract_y
_atom_site_fract_z
_atom_site_occupancy
Pu1 Pu 0.0000 0.0000 0.0000 1
B1 B 0.0000 0.0000 0.5000 1
C1 C 0.0000 0.0000 0.3997 1
```

* electronic total energy: -9.4818 eV per atom
* energy of formation: 36.9 kJ/mol of atoms
* energy above the most stable polymorph in this dataset: 0.00 eV per formula unit

Compound: Pu3B9C2
Source: the Alexandria database
Functional: PBE
Structure: relaxed

```
data_Pu3B9C2
_chemical_formula_sum 'Pu6 B18 C4'
_cell_length_a 2.972
_cell_length_b 9.651
_cell_length_c 9.804
_cell_angle_alpha 90.00
_cell_angle_beta 90.00
_cell_angle_gamma 90.00
_symmetry_space_group_name_H-M 'I m m m'
_symmetry_Int_Tables_number 71
_symmetry_space_group_name_Hall '-I 2 2'
loop_
_atom_site_label
_atom_site_type_symbol
_atom_site_fract_x
_atom_site_fract_y
_atom_site_fract_z
_atom_site_occupancy
Pu1 Pu 0.000 0.000 0.000 1
Pu2 Pu 0.000 0.295 0.000 1
B1 B 0.000 0.000 0.500 1
B2 B 0.000 0.203 0.246 1
B3 B 0.000 0.394 0.251 1
C1 C 0.000 0.500 0.125 1
```

* electronic total energy: -8.4182 eV per atom
* energy of formation: 25.4 kJ/mol of atoms

Compound: Pu3BC4
Source: the Alexandria database
Functional: PBE
Structure: relaxed

```
data_Pu3BC4
_chemical_formula_sum 'Pu6 B2 C8'
_cell_length_a 3.879
_cell_length_b 4.177
_cell_length_c 12.370
_cell_angle_alpha 90.00
_cell_angle_beta 90.00
_cell_angle_gamma 90.00
_symmetry_space_group_name_H-M 'I m m m'
_symmetry_Int_Tables_number 71
_symmetry_space_group_name_Hall '-I 2 2'
loop_
_atom_site_label
_atom_site_type_symbol
_atom_site_fract_x
_atom_site_fract_y
_atom_site_fract_z
_atom_site_occupancy
Pu1 Pu 0.000 0.000 0.000 1
Pu2 Pu 0.000 0.500 0.186 1
B1 B 0.000 0.000 0.500 1
C1 C 0.000 0.325 0.387 1
```

* electronic total energy: -10.5706 eV per atom
* energy of formation: 24.2 kJ/mol of atoms

Compound: PuB3C2
Source: the Alexandria database
Functional: PBE
Structure: relaxed

```
data_PuB3C2
_chemical_formula_sum 'Pu4 B12 C8'
_cell_length_a 11.087
_cell_length_b 2.832
_cell_length_c 7.546
_cell_angle_alpha 90.00
_cell_angle_beta 116.59
_cell_angle_gamma 90.00
_symmetry_space_group_name_H-M 'C 1 2/m 1'
_symmetry_Int_Tables_number 12
_symmetry_space_group_name_Hall '-C 2y'
loop_
_atom_site_label
_atom_site_type_symbol
_atom_site_fract_x
_atom_site_fract_y
_atom_site_fract_z
_atom_site_occupancy
Pu1 Pu 0.136 0.000 0.033 1
B1 B 0.104 0.500 0.714 1
B2 B 0.114 0.000 0.421 1
B3 B 0.219 0.500 0.393 1
C1 C 0.049 0.500 0.300 1
C2 C 0.159 0.000 0.670 1
```

* electronic total energy: -8.6203 eV per atom
* energy of formation: 17.5 kJ/mol of atoms

Compound: PuB2C2
Source: the Alexandria database
Functional: PBE
Structure: relaxed

```
data_PuB2C2
_chemical_formula_sum 'Pu4 B8 C8'
_cell_length_a 6.392
_cell_length_b 7.870
_cell_length_c 4.693
_cell_angle_alpha 90.00
_cell_angle_beta 126.45
_cell_angle_gamma 90.00
_symmetry_space_group_name_H-M 'C 1 2/c 1'
_symmetry_Int_Tables_number 15
_symmetry_space_group_name_Hall '-C 2yc'
loop_
_atom_site_label
_atom_site_type_symbol
_atom_site_fract_x
_atom_site_fract_y
_atom_site_fract_z
_atom_site_occupancy
Pu1 Pu 0.000 0.108 0.250 1
B1 B 0.096 0.379 0.012 1
C1 C 0.000 0.213 0.750 1
C2 C 0.000 0.441 0.250 1
```

* electronic total energy: -8.9585 eV per atom
* energy of formation: 25.9 kJ/mol of atoms

Compound: PuB3C3
Source: the Alexandria database
Functional: PBE
Structure: relaxed

```
data_PuB3C3
_chemical_formula_sum 'Pu2 B6 C6'
_cell_length_a 7.4915
_cell_length_b 7.4915
_cell_length_c 2.5386
_cell_angle_alpha 90.00
_cell_angle_beta 90.00
_cell_angle_gamma 120.00
_symmetry_space_group_name_H-M 'P 63/m'
_symmetry_Int_Tables_number 176
_symmetry_space_group_name_Hall '-P 6c'
loop_
_atom_site_label
_atom_site_type_symbol
_atom_site_fract_x
_atom_site_fract_y
_atom_site_fract_z
_atom_site_occupancy
Pu1 Pu 0.3333 0.6667 0.2500 1
B1 B 0.0099 0.2311 0.7500 1
C1 C 0.0199 0.4571 0.7500 1
```

* electronic total energy: -8.2755 eV per atom
* energy of formation: 56.6 kJ/mol of atoms